The following is a PBE-GGA calculation of KZrIn2 after structural relaxation, from Alexandria.

Cell: 5.364 5.364 5.364 Å, 60.00 60.00 60.00°
Sites, in units of the cell vectors:
K: 0.000 0.000 0.000
Zr: 0.750 0.750 0.750
In: 0.250 0.250 0.250
In: 0.500 0.500 0.500

energy above the lowest structure with this stoichiometry: 2.39 eV per formula unit
VASP energy: -0.2398 Ry per atom
space-group type: F-43m